# 1
Li4Tm3HfS8 after structural relaxation. Source: Alexandria via LeMat-Bulk, functional PBE.

The value obtained for the total magnetic moment is 0.000 μB/atom. The calculation puts the total energy at -92.08 eV per formula unit.

The structure belongs to space group R-3m (No. 166, hexagonal axes); the cell edges are 7.5693, 7.5693 and 18.4766 Å and the angles 90.00°, 90.00° and 120.00°. The inequivalent atoms are Li at (0.0000, 0.0000, 0.0000), Li at (0.0000, 0.5000, 0.0000), Tm at (0.0000, 0.5000, 0.5000), Hf at (0.0000, 0.0000, 0.5000), S at (0.0000, 0.0000, 0.2509) and S at (0.0119, 0.5060, 0.2491).


# 2
LiTm2HfS4 after structural relaxation. Source: Alexandria via LeMat-Bulk, functional PBE.

The value obtained for the total magnetic moment is 0.000 μB/atom. The calculation puts the total energy at -51.01 eV per formula unit.

The structure belongs to space group P2/m (No. 10); the cell edges are 6.388, 3.754 and 6.575 Å and the angles 90.00°, 109.24° and 90.00°. The inequivalent atoms are Li at (0.000, 0.000, 0.000), Tm at (0.500, 0.000, 0.500), Tm at (0.500, 0.500, 0.000), Hf at (0.000, 0.500, 0.500), S at (0.234, 0.000, 0.749) and S at (0.236, 0.500, 0.246).


# 3
Li2TmHfS4 after structural relaxation. Source: Alexandria via LeMat-Bulk, functional PBE.

The value obtained for the total magnetic moment is 0.000 μB/atom. The calculation puts the total energy at -48.03 eV per formula unit.

The structure belongs to space group P2/m (No. 10); the cell edges are 6.459, 3.702 and 6.538 Å and the angles 90.00°, 109.05° and 90.00°. The inequivalent atoms are Li at (0.000, 0.000, 0.000), Li at (0.500, 0.500, 0.000), Tm at (0.000, 0.500, 0.500), Hf at (0.500, 0.000, 0.500), S at (0.261, 0.500, 0.254) and S at (0.262, 0.000, 0.751).


# 4
LiTmHfS4 after structural relaxation. Source: Alexandria via LeMat-Bulk, functional PBE.

The value obtained for the total magnetic moment is 0.000 μB/atom. The calculation puts the total energy at -45.07 eV per formula unit.

The structure belongs to space group Imma (No. 74); the cell edges are 7.504, 7.799 and 10.870 Å and the angles 90.00°, 90.00° and 90.00°. The inequivalent atoms are Li at (0.000, 0.250, 0.122), Tm at (0.000, 0.000, 0.500), Hf at (0.250, 0.250, 0.750), S at (0.000, 0.023, 0.749) and S at (0.245, 0.250, 0.516).


- Number 3 is which compound?
  Li2TmHfS4